First-principles (PBE) data for crystalline TiBI2 at its relaxed geometry, as listed in Alexandria.

Energy above the most stable polymorph in this dataset = 0.004 eV per atom
Formation energy from raw total energies = 1.0142 eV per atom
DFT total energy = -3.4040 eV/atom
SG = I-42d (122)

a = 7.117 Å, b = 7.117 Å, c = 7.079 Å
α = 59.82°, β = 59.82°, γ = 90.00°
Last column: magnetic moment on the atom in μB.
Element x y z (fractional)
I (0.375, 0.368, 0.750)  -0.03
I (0.875, 0.882, 0.750)  -0.03
I (0.118, 0.625, 0.250)  -0.03
I (0.632, 0.125, 0.250)  -0.03
B (0.500, 0.500, 0.000)  0.23
B (0.250, 0.750, 0.500)  0.23
Ti (0.000, 0.000, 0.000)  1.85
Ti (0.750, 0.250, 0.500)  1.85